Run i
VASP calculation (GGA-PBE) on a relaxed ScMoS3 crystal.

Results
Space group: No. 221

Structure (POSCAR):
```
ScMoS3
1.0
-0.1936 -1.4166 -4.4471
1.2813 -4.2961 1.3127
-4.4880 -1.1654 0.5666
Sc Mo S
1 1 3
Cartesian
-1.7001 -3.4390 -1.2839
0.0000 0.0000 0.0000
0.6406 -2.1480 0.6564
-2.2440 -0.5827 0.2833
-0.0968 -0.7083 -2.2236
```

=====

Run ii
VASP calculation (GGA-PBE) on a relaxed ScMoS3 crystal.

Results
Space group: No. 221

Structure (POSCAR):
```
ScMoS3
1.0
4.8405 0.0000 0.0000
0.0000 4.8405 0.0000
0.0000 0.0000 4.8405
Sc Mo S
1 1 3
Cartesian
0.0000 0.0000 0.0000
2.4203 2.4203 2.4203
0.0000 2.4203 0.0000
0.0000 0.0000 2.4203
2.4203 0.0000 0.0000
```

=====

Taking the most stable structure as the zero point, the relative energies in meV per atom are run i 0; run ii 423.

=====

Run i
VASP calculation (GGA-PBE) on a relaxed ScMo3S crystal.

Results
Space group: No. 221

Structure (POSCAR):
```
ScMo3S
1.0
4.4772 0.0000 0.0000
0.0000 4.4772 0.0000
0.0000 0.0000 4.4772
Sc Mo S
1 3 1
Cartesian
2.2386 2.2386 2.2386
0.0000 2.2386 0.0000
0.0000 0.0000 2.2386
2.2386 0.0000 0.0000
0.0000 0.0000 0.0000
```

=====

Run ii
VASP calculation (GGA-PBE) on a relaxed ScMo3S crystal.

Results
Space group: No. 221

Structure (POSCAR):
```
ScMo3S
1.0
4.6711 0.0000 0.0000
0.0000 4.6711 0.0000
0.0000 0.0000 4.6711
Sc Mo S
1 3 1
Cartesian
0.0000 0.0000 0.0000
0.0000 2.3355 0.0000
0.0000 0.0000 2.3355
2.3355 0.0000 0.0000
2.3355 2.3355 2.3355
```

=====

Taking the most stable structure as the zero point, the relative energies in meV per atom are run i 0; run ii 2024.

=====

Run i
VASP calculation (GGA-PBE) on a relaxed MoSeS crystal.

Results
Space group: No. 11

Structure (POSCAR):
```
MoSeS
1.0
3.2435 0.0000 0.0003
0.0000 6.1384 -0.6966
0.0009 -2.5288 6.9627
Mo Se S
2 2 2
Cartesian
0.1347 2.9069 6.0211
1.7566 -0.7429 5.7499
1.7554 0.7542 1.0671
0.1348 3.9386 3.7411
0.1349 0.7649 4.7233
1.7554 3.9280 0.0850
```

=====

Run ii
VASP calculation (GGA-PBE) on a relaxed MoSeS crystal.

Results
Space group: No. 156

Structure (POSCAR):
```
MoSeS
1.0
1.6274 -2.8188 0.0000
1.6274 2.8188 0.0000
0.0000 0.0000 33.1974
Mo Se S
4 4 4
Cartesian
0.0000 0.0000 1.9518
0.0000 0.0000 15.8931
1.6274 0.9396 8.8737
1.6274 0.9396 23.1743
0.0000 0.0000 24.8727
1.6274 0.9396 14.1947
1.6274 0.9396 17.5918
0.0000 0.0000 21.4752
0.0000 0.0000 10.4179
1.6274 0.9396 0.4077
1.6274 0.9396 3.4960
0.0000 0.0000 7.3299
```

=====

Run iii
VASP calculation (GGA-PBE) on a relaxed MoSeS crystal.

Results
Space group: No. 14

Structure (POSCAR):
```
MoSeS
1.0
-0.7354 1.9855 -5.2767
-6.5098 -0.3759 0.7657
0.1849 5.6392 4.3405
Se Mo S
4 4 4
Cartesian
-4.2795 5.0523 1.0923
-1.4772 3.2858 -4.0976
-2.7807 2.1965 -1.2627
-5.5830 3.9631 3.9272
-5.7000 2.9116 1.6619
-2.4892 3.2581 0.9821
-1.3602 4.3373 -1.8323
-4.5710 3.9907 -1.1524
-4.6743 3.3312 -3.5426
-0.9821 5.0127 0.5255
-2.3859 3.9177 3.3722
-6.0781 2.2361 -0.6959
```

=====

Taking the most stable structure as the zero point, the relative energies in meV per atom are run i 277; run ii 0; run iii 226.

=====

Run i
VASP calculation (GGA-PBE) on a relaxed MoSe2S2 crystal.

Results
Space group: No. 139

Structure (POSCAR):
```
MoSe2S2
1.0
3.3625 0.0000 0.0000
0.0000 3.3625 0.0000
1.6813 1.6813 10.4986
Mo S Se
1 2 2
Cartesian
0.0000 0.0000 0.0000
1.6813 1.6813 1.3764
3.3625 3.3625 9.1222
3.3625 1.6813 5.2493
1.6813 3.3625 5.2493
```

=====

Run ii
VASP calculation (GGA-PBE) on a relaxed MoSe2S2 crystal.

Results
Space group: No. 127

Structure (POSCAR):
```
MoSe2S2
1.0
-1.3074 4.6279 4.1113
2.1497 -3.6011 4.7372
4.6934 1.9208 -0.6696
Mo S Se
2 4 4
Cartesian
0.0000 0.0000 0.0000
0.4211 0.5134 4.4242
1.3507 -1.4642 5.2667
0.3637 1.4080 6.5879
-0.5084 2.4911 3.5818
0.4786 -0.3812 2.2606
3.6585 -0.5512 4.5235
2.8699 1.9887 6.2819
1.8771 3.4989 3.6553
2.6657 0.9589 1.8969
```

=====

Taking the most stable structure as the zero point, the relative energies in meV per atom are run i 0; run ii 11.

=====

Run i
VASP calculation (GGA-PBE) on a relaxed Mo2SeS crystal.

Results
Space group: No. 225

Structure (POSCAR):
```
Mo2SeS
1.0
0.0000 3.0844 3.0844
3.0844 0.0000 3.0844
3.0844 3.0844 0.0000
Mo S Se
2 1 1
Cartesian
1.5422 1.5422 1.5422
4.6266 4.6266 4.6266
0.0000 0.0000 0.0000
3.0844 3.0844 3.0844
```

=====

Run ii
VASP calculation (GGA-PBE) on a relaxed Mo2SeS crystal.

Results
Space group: No. 122

Structure (POSCAR):
```
Mo2SeS
1.0
-5.2269 -2.2134 -0.0845
0.0162 -0.2546 5.6711
-4.6032 3.4754 3.0105
Mo S Se
4 2 2
Cartesian
-4.2879 -0.4923 1.4108
-1.9218 0.3789 4.2844
-5.4060 1.6748 4.4914
-8.0122 0.4532 7.0076
-2.6054 -1.2340 2.7933
-3.5962 0.9933 5.7375
0.0000 0.0000 0.0000
-6.2177 0.0139 2.8596
```

=====

Taking the most stable structure as the zero point, the relative energies in meV per atom are run i 0; run ii 220.

=====

Run i
VASP calculation (GGA-PBE) on a relaxed MoSeS3 crystal.

Results
Space group: No. 221

Structure (POSCAR):
```
MoSeS3
1.0
4.7222 0.0000 0.0000
0.0000 4.7222 0.0000
0.0000 0.0000 4.7222
Mo S Se
1 3 1
Cartesian
2.3611 2.3611 2.3611
0.0000 2.3611 0.0000
0.0000 0.0000 2.3611
2.3611 0.0000 0.0000
0.0000 0.0000 0.0000
```

=====

Run ii
VASP calculation (GGA-PBE) on a relaxed MoSeS3 crystal.

Results
Space group: No. 221

Structure (POSCAR):
```
MoSeS3
1.0
4.6683 0.0000 0.0000
0.0000 4.6683 0.0000
0.0000 0.0000 4.6683
Mo S Se
1 3 1
Cartesian
0.0000 0.0000 0.0000
0.0000 2.3341 0.0000
0.0000 0.0000 2.3341
2.3341 0.0000 0.0000
2.3341 2.3341 2.3341
```

=====

Taking the most stable structure as the zero point, the relative energies in meV per atom are run i 773; run ii 0.

=====

Run i
VASP calculation (GGA-PBE) on a relaxed Te4MoW3Se2S2 crystal.

Results
Space group: No. 156

Structure (POSCAR):
```
Te4MoW3Se2S2
1.0
1.6967 -2.9388 0.0000
1.6967 2.9388 0.0000
0.0000 0.0000 33.3545
Te Mo W Se S
4 1 3 2 2
Cartesian
0.0000 0.0000 10.5164
1.6967 0.9796 14.4593
1.6967 0.9796 18.2121
0.0000 0.0000 6.7424
0.0000 0.0000 16.3361
0.0000 0.0000 1.3200
1.6967 0.9796 8.6292
1.6967 0.9796 23.8438
0.0000 0.0000 25.5007
0.0000 0.0000 22.1865
1.6967 0.9796 33.1678
1.6967 0.9796 2.8273
```

=====

Run ii
VASP calculation (GGA-PBE) on a relaxed Te4MoW3Se2S2 crystal.

Results
Space group: No. 156

Structure (POSCAR):
```
Te4MoW3Se2S2
1.0
-1.6629 1.3543 2.6381
-1.0881 0.5713 -3.1699
-22.0663 -30.9739 1.9921
Te Mo W Se S
4 1 3 2 2
Cartesian
-7.3647 -10.3377 0.6649
-15.6291 -21.9382 1.4110
-5.1810 -7.2724 0.4677
-13.4449 -18.8724 1.2138
-10.3760 -14.5646 0.9367
-1.9777 -2.7761 0.1785
-7.5521 -7.9721 -0.6677
-15.8172 -19.5737 0.0785
-2.2988 -0.5982 -1.1419
-4.2165 -3.2900 -0.9688
-10.7866 -12.5123 -0.3757
-12.5248 -14.9522 -0.2188
```

=====

Taking the most stable structure as the zero point, the relative energies in meV per atom are run i 0; run ii 35.

=====

Run i
VASP calculation (GGA-PBE) on a relaxed Te4MoW3Se2S2 crystal.

Results
Space group: No. 156

Structure (POSCAR):
```
Te4MoW3Se2S2
1.0
3.3996 0.0000 0.0000
-1.6998 2.9441 0.0000
0.0000 0.0000 37.4050
S Mo Te Se W
2 1 4 2 3
Cartesian
0.0000 1.9627 1.6485
0.0000 1.9627 4.6507
0.0000 0.0000 3.1494
0.0000 0.0000 12.1657
0.0000 0.0000 26.9953
0.0000 0.0000 8.3963
0.0000 0.0000 23.2281
0.0000 1.9627 16.0190
0.0000 1.9627 19.3290
0.0000 0.0000 17.6739
0.0000 1.9627 10.2818
0.0000 1.9627 25.1119
```

=====

Run ii
VASP calculation (GGA-PBE) on a relaxed Te4MoW3Se2S2 crystal.

Results
Space group: No. 156

Structure (POSCAR):
```
Te4MoW3Se2S2
1.0
-1.5160 -1.4560 -2.6680
-0.1464 -1.4807 3.0533
-30.1472 18.0226 7.2945
Te Mo W Se S
4 1 3 2 2
Cartesian
-23.4356 11.9127 4.6533
-12.6924 7.5878 3.0711
-15.8613 9.4822 3.8379
-20.2670 10.0184 3.8866
-8.0702 4.8245 1.9527
-3.2289 -0.1673 -0.2360
-15.3362 7.0707 2.6935
-20.7923 12.4301 5.0310
-10.5155 4.1888 1.5271
-7.7442 2.5320 0.8565
-0.9037 0.5402 0.2187
-3.4354 2.0537 0.8312
```

=====

Taking the most stable structure as the zero point, the relative energies in meV per atom are run i 15; run ii 0.

=====

Run i
VASP calculation (GGA-PBE) on a relaxed Te2Mo3WSe2S4 crystal.

Results
Space group: No. 156

Structure (POSCAR):
```
Te2Mo3WSe2S4
1.0
3.3098 0.0000 0.0000
-1.6549 2.8664 0.0000
0.0000 0.0000 33.1610
W S Te Mo Se
1 4 2 3 2
Cartesian
1.6549 0.9555 23.0272
0.0000 1.9109 10.5886
1.6549 0.9555 14.2495
1.6549 0.9555 17.3015
0.0000 1.9109 7.5349
0.0000 1.9109 24.9513
0.0000 1.9109 21.1010
0.0000 1.9109 1.9741
0.0000 1.9109 15.7755
1.6549 0.9555 9.0617
1.6549 0.9555 0.2959
1.6549 0.9555 3.6531
```

=====

Run ii
VASP calculation (GGA-PBE) on a relaxed Te2Mo3WSe2S4 crystal.

Results
Space group: No. 156

Structure (POSCAR):
```
Te2Mo3WSe2S4
1.0
1.6538 -2.8644 0.0000
1.6538 2.8644 0.0000
0.0000 0.0000 33.1160
Te Mo W Se S
2 3 1 2 4
Cartesian
1.6538 0.9548 10.6113
1.6538 0.9548 6.7816
1.6538 0.9548 1.4201
1.6538 -0.9548 8.6969
1.6538 -0.9548 23.3853
1.6538 0.9548 16.2685
1.6538 -0.9548 14.5804
1.6538 -0.9548 17.9570
1.6538 0.9548 24.9130
1.6538 -0.9548 33.0092
1.6538 -0.9548 2.9469
1.6538 0.9548 21.8576
```

=====

Run iii
VASP calculation (GGA-PBE) on a relaxed Te2Mo3WSe2S4 crystal.

Results
Space group: No. 156

Structure (POSCAR):
```
Te2Mo3WSe2S4
1.0
1.6529 -2.8629 0.0000
1.6529 2.8629 0.0000
0.0000 0.0000 29.5964
Te Mo W Se S
2 3 1 2 4
Cartesian
0.0000 0.0000 24.1443
0.0000 0.0000 20.3138
0.0000 0.0000 0.2431
1.6529 0.9543 7.3390
1.6529 0.9543 22.2285
0.0000 0.0000 14.6700
0.0000 0.0000 9.0188
0.0000 0.0000 5.6587
1.6529 0.9543 28.3124
1.6529 0.9543 13.1362
1.6529 0.9543 1.7705
1.6529 0.9543 16.2038
```

=====

Taking the most stable structure as the zero point, the relative energies in meV per atom are run i 39; run ii 17; run iii 0.

=====

Run i
VASP calculation (GGA-PBE) on a relaxed MoWSe2S2 crystal.

Results
Space group: No. 164

Structure (POSCAR):
```
MoWSe2S2
1.0
3.2525 0.0000 0.0000
-1.6262 2.8167 0.0000
0.0000 0.0000 34.1981
Mo W Se S
2 2 4 4
Cartesian
0.0000 1.8778 3.5977
1.6262 0.9389 30.6004
0.0000 1.8778 23.4730
1.6262 0.9389 10.7251
0.0000 1.8778 32.3004
1.6262 0.9389 1.8978
1.6262 0.9389 5.2972
0.0000 1.8778 28.9010
0.0000 1.8778 12.2762
1.6262 0.9389 21.9219
1.6262 0.9389 25.0244
0.0000 1.8778 9.1737
```

=====

Run ii
VASP calculation (GGA-PBE) on a relaxed MoWSe2S2 crystal.

Results
Space group: No. 164

Structure (POSCAR):
```
MoWSe2S2
1.0
-0.1667 -3.2458 -0.2051
1.7090 1.6850 -2.2012
29.6129 -2.8366 20.8196
Mo W Se S
2 2 4 4
Cartesian
21.9304 -1.9555 13.1206
9.2248 -2.4419 5.2928
4.0480 -0.2426 0.5482
27.1072 -4.1549 17.8652
29.1251 -2.6447 18.1789
2.0301 -1.7528 0.2345
4.8151 -2.0195 2.1925
26.3401 -2.3779 16.2208
11.1089 -0.9189 5.5124
20.0463 -3.4785 12.9009
22.5642 -3.7197 14.6712
8.5910 -0.6777 3.7422
```

=====

Taking the most stable structure as the zero point, the relative energies in meV per atom are run i 0; run ii 34.